Entry 1:
Entry from the Alexandria database: crystalline UMoPd at its relaxed geometry (GGA-PBE).

Unit cell a=3.8451 b=2.7179 c=14.1667 alpha=90.00 beta=90.00 gamma=135.02
With the nearest neighbours (Å) after each atom.
Sites, in units of the cell vectors:
Mo1 0.6952 0.3904 0.0000  4 Mo 2.72, 8 Pd 2.79
Mo2 0.1928 0.3856 0.5000  4 Mo 2.72
U1 0.6940 0.3881 0.6818  4 U 2.72
U2 0.6940 0.3881 0.3182  4 U 2.72
Pd1 0.1953 0.3905 0.8573  4 Pd 2.72, 4 Mo 2.79
Pd2 0.1953 0.3905 0.1427  4 Pd 2.72, 4 Mo 2.79

ΔE_f = 0.114 eV per atom
magnetic moment = 0.9 μB/f.u.

---

Entry 2:
Entry from the Alexandria database: crystalline V4MoPd at its relaxed geometry (GGA-PBE).

Unit cell a=4.9346 b=4.9346 c=4.9346 alpha=60.00 beta=60.00 gamma=60.00
With the nearest neighbours (Å) after each atom.
Sites, in units of the cell vectors:
Mo1 0.2500 0.2500 0.2500  12 V 2.89, 4 Pd 3.02
Pd1 0.0000 0.0000 0.0000  12 V 2.90, 4 Mo 3.02
V1 0.6230 0.6230 0.1309  6 V 2.43-2.51
V2 0.6230 0.1309 0.6230  6 V 2.43-2.51
V3 0.6230 0.6230 0.6230  6 V 2.43-2.51
V4 0.1310 0.6230 0.6230  6 V 2.43-2.51

ΔE_f = 0.052 eV per atom
magnetic moment = 0.0 μB/f.u.

---

Entry 3:
Entry from the Alexandria database: crystalline VMoPd at its relaxed geometry (GGA-PBE).

Unit cell a=4.3932 b=4.3961 c=5.3725 alpha=90.03 beta=90.00 gamma=119.98
With the nearest neighbours (Å) after each atom.
Sites, in units of the cell vectors:
Mo1 0.9998 0.9996 0.7709  1 Mo 2.46, 3 V 2.64, 3 Pd 2.70
Mo2 0.0002 0.0004 0.2291  1 Mo 2.46, 3 V 2.64, 3 Pd 2.70
Pd1 0.3334 0.6668 0.4017  2 V 2.66-2.71, 3 Mo 2.70, 3 Pd 2.75
Pd2 0.6666 0.3332 0.5983  2 V 2.66-2.71, 3 Mo 2.70, 3 Pd 2.75
V1 0.3332 0.6664 0.9062  3 Mo 2.64, 2 Pd 2.66-2.71, 3 V 2.73
V2 0.6668 0.3336 0.0938  3 Mo 2.64, 2 Pd 2.66-2.71, 3 V 2.73

ΔE_f = 0.003 eV per atom
magnetic moment = 0.0 μB/f.u.

---

- Look up the magnetic moment of the third one.
  0.0 μB/f.u.

---

- Which of these has the highest ΔE_f?
  UMoPd